Entry 1:
## CrAsIr2 (GGA-PBE)

Data for crystalline CrAsIr2 at its relaxed geometry.

## Properties
ΔE_f, eV/atom: 0.043
Total moment, μB/cell: 1.94

Unit cell a=2.863 b=3.611 c=5.620 alpha=90.00 beta=90.00 gamma=90.00
Fractional positions:
Cr (0.000, 0.000, 0.000)
As (0.000, 0.000, 0.500)
Ir (0.500, 0.500, 0.237)
Ir (0.500, 0.500, 0.763)

=====

Entry 2:
## CrAsIr2 (GGA-PBE)

Data for crystalline CrAsIr2 at its relaxed geometry.

## Properties
ΔE_f, eV/atom: 0.094
Total moment, μB/cell: 2.42

Unit cell a=2.878 b=3.849 c=5.340 alpha=90.00 beta=90.00 gamma=90.00
Fractional positions:
Cr (0.000, 0.000, 0.000)
As (0.500, 0.500, 0.689)
Ir (0.000, 0.000, 0.497)
Ir (0.500, 0.500, 0.179)

=====

Entry 3:
## Cr4AsIr (GGA-PBE)

Data for crystalline Cr4AsIr at its relaxed geometry.

## Properties
ΔE_f, eV/atom: 0.283
Total moment, μB/cell: 0.00

Unit cell a=4.770 b=4.770 c=4.770 alpha=60.00 beta=60.00 gamma=60.00
Fractional positions:
Cr (0.377, 0.377, 0.377)
Cr (0.377, 0.377, 0.869)
Cr (0.377, 0.869, 0.377)
Cr (0.869, 0.377, 0.377)
As (0.750, 0.750, 0.750)
Ir (0.000, 0.000, 0.000)

=====

Entry 4:
## CrAsIr2 (GGA-PBE)

Data for crystalline CrAsIr2 at its relaxed geometry.

## Properties
ΔE_f, eV/atom: 0.027
Total moment, μB/cell: 2.39

Unit cell a=4.622 b=4.622 c=4.622 alpha=129.15 beta=129.15 gamma=74.76
Fractional positions:
Cr (0.000, 0.000, 0.000)
As (0.500, 0.500, 0.000)
Ir (0.250, 0.750, 0.500)
Ir (0.750, 0.250, 0.500)

=====

Entry 5:
## CrAsIr2 (GGA-PBE)

Data for crystalline CrAsIr2 at its relaxed geometry.

## Properties
ΔE_f, eV/atom: 0.110
Total moment, μB/cell: 0.59

Unit cell a=8.409 b=8.409 c=8.409 alpha=19.26 beta=19.26 gamma=19.26
Fractional positions:
Cr (0.000, 0.000, 0.000)
As (0.254, 0.254, 0.254)
Ir (0.507, 0.507, 0.507)
Ir (0.747, 0.747, 0.747)

=====

Entry 6:
## CrAsIr2 (GGA-PBE)

Data for crystalline CrAsIr2 at its relaxed geometry.

## Properties
ΔE_f, eV/atom: 0.454
Total moment, μB/cell: 1.58

Unit cell a=6.636 b=6.636 c=6.636 alpha=131.40 beta=131.40 gamma=71.17
Fractional positions:
Cr (0.000, 0.000, 0.000)
Cr (0.750, 0.250, 0.500)
As (0.250, 0.750, 0.500)
As (0.500, 0.500, 0.000)
Ir (0.112, 0.625, 0.987)
Ir (0.375, 0.362, 0.487)
Ir (0.638, 0.125, 0.013)
Ir (0.875, 0.888, 0.513)

=====

Entry 7:
## CrAsIr2 (GGA-PBE)

Data for crystalline CrAsIr2 at its relaxed geometry.

## Properties
ΔE_f, eV/atom: 0.126
Total moment, μB/cell: 1.79

Unit cell a=5.268 b=5.268 c=5.268 alpha=148.31 beta=130.11 gamma=60.32
Fractional positions:
Cr (0.000, 0.000, 0.000)
As (0.500, 0.500, 0.000)
Ir (0.273, 0.773, 0.500)
Ir (0.727, 0.227, 0.500)

=====

Entry 8:
## CrAsIr (GGA-PBE)

Data for crystalline CrAsIr at its relaxed geometry.

## Properties
ΔE_f, eV/atom: 0.112
Total moment, μB/cell: 0.76

Unit cell a=2.815 b=2.815 c=6.224 alpha=90.00 beta=90.00 gamma=120.00
Fractional positions:
Cr (0.000, 0.000, 0.000)
As (0.667, 0.333, 0.686)
Ir (0.333, 0.667, 0.315)

=====

Entry 9:
## CrAsIr3 (GGA-PBE)

Data for crystalline CrAsIr3 at its relaxed geometry.

## Properties
Energy above the lowest structure with this stoichiometry, eV/f.u.: 0.76
ΔE_f, eV/atom: 1.494
Total moment, μB/cell: 0.45

Unit cell a=4.530 b=4.530 c=4.530 alpha=90.00 beta=90.00 gamma=90.00
Fractional positions:
Cr (0.000, 0.000, 0.000)
As (0.500, 0.500, 0.500)
Ir (0.000, 0.500, 0.500)
Ir (0.500, 0.000, 0.500)
Ir (0.500, 0.500, 0.000)

=====

Entry 10:
## CrAsIr2 (GGA-PBE)

Data for crystalline CrAsIr2 at its relaxed geometry.

## Properties
ΔE_f, eV/atom: 0.072
Total moment, μB/cell: 2.68

Unit cell a=4.543 b=4.543 c=2.916 alpha=90.00 beta=90.00 gamma=103.61
Fractional positions:
Cr (0.000, 0.000, 0.000)
As (0.500, 0.500, 0.000)
Ir (0.000, 0.500, 0.500)
Ir (0.500, 0.000, 0.500)

=====

Entry 11:
## Cr2AsIr2 (GGA-PBE)

Data for crystalline Cr2AsIr2 at its relaxed geometry.

## Properties
Energy above the lowest structure with this stoichiometry, eV/f.u.: 0.46
ΔE_f, eV/atom: 0.208
Total moment, μB/cell: 0.00

Unit cell a=7.145 b=7.145 c=7.145 alpha=153.52 beta=153.52 gamma=37.80
Fractional positions:
Cr (0.250, 0.750, 0.500)
Cr (0.750, 0.250, 0.500)
As (0.000, 0.000, 0.000)
Ir (0.397, 0.397, 0.000)
Ir (0.603, 0.603, 0.000)

=====

Entry 12:
## CrAsIr2 (GGA-PBE)

Data for crystalline CrAsIr2 at its relaxed geometry.

## Properties
ΔE_f, eV/atom: 0.081
Total moment, μB/cell: 1.19

Unit cell a=2.807 b=4.062 c=5.239 alpha=90.00 beta=104.24 gamma=90.00
Fractional positions:
Cr (0.000, 0.000, 0.000)
As (0.000, 0.000, 0.500)
Ir (0.371, 0.500, 0.748)
Ir (0.629, 0.500, 0.252)